Record 1
Na3PN | SCAN | PBEsol geometry

Calculated values
crystal system: cubic
DOS(E_F): 0.21 states/eV per atom

Cell: 5.369 5.369 5.369 Å, 90.00 90.00 90.00°
Positions (direct):
1 Na 0.000 0.000 0.500
2 Na 0.000 0.500 0.000
3 Na 0.500 0.000 0.000
4 P 0.000 0.000 0.000
5 N 0.500 0.500 0.500



Record 2
NaPSN2 | SCAN | PBEsol geometry

Calculated values
crystal system: tetragonal
DOS(E_F): 0.34 states/eV per atom

Cell: 4.151 4.151 5.078 Å, 90.00 90.00 90.00°
Positions (direct):
1 Na 0.000 0.000 0.000
2 P 0.500 0.500 0.500
3 S 0.000 0.000 0.500
4 N 0.000 0.500 0.000
5 N 0.500 0.000 0.000



Record 3
NaPb3N | SCAN | PBEsol geometry

Calculated values
crystal system: cubic
DOS(E_F): 0.48 states/eV per atom

Cell: 5.445 5.445 5.445 Å, 90.00 90.00 90.00°
Positions (direct):
1 Na 0.000 0.000 0.000
2 Pb 0.000 0.000 0.500
3 Pb 0.000 0.500 0.000
4 Pb 0.500 0.000 0.000
5 N 0.500 0.500 0.500



| no. | ΔE_f (raw) (meV/atom) |
| --- | --- |
| 1 | 606 |
| 2 | 2109 |
| 3 | 1393 |